[1]
DFT (PBE-GGA) results for a relaxed Zr2MoRu crystal.

Output
- Space group: Immm, No. 71

Cell lengths 5.3194, 5.3194, 5.3194 Å; angles 143.57, 124.29, 68.41 degrees
Sites, in units of the cell vectors:
1 Zr 0.2450 0.2450 0.0000
2 Zr 0.7550 0.7550 0.0000
3 Mo 0.5000 0.0000 0.5000
4 Ru 0.0000 0.5000 0.5000



[2]
DFT (PBE-GGA) results for a relaxed Zr2MoRu crystal.

Output
- Space group: Pmm2, No. 25

Cell lengths 3.0796, 4.4537, 5.4815 Å; angles 90.00, 90.00, 90.00 degrees
Sites, in units of the cell vectors:
1 Zr 0.0000 0.0000 0.0000
2 Zr 0.5000 0.5000 0.3271
3 Mo 0.0000 0.0000 0.5124
4 Ru 0.5000 0.5000 0.8126



[3]
DFT (PBE-GGA) results for a relaxed Zr2MoRu crystal.

Output
- Space group: P4/mmm, No. 123

Cell lengths 3.2995, 3.2995, 6.6797 Å; angles 90.00, 90.00, 90.00 degrees
Sites, in units of the cell vectors:
1 Zr 0.0000 0.0000 0.2460
2 Zr 0.0000 0.0000 0.7540
3 Mo 0.5000 0.5000 0.5000
4 Ru 0.5000 0.5000 0.0000



Q: Which formation energy from the elements values were calculated for the entries above? A: -0.07, 0.08, -0.29, in eV per atom.